[1]
The following is a PBE calculation of a relaxed structure of Cs2InHgCl6, from OQMD.

Values from the calculation:
Symmetry: C2/m
Electronic total energy: -29.226 eV per cell

Cell: 7.6626 7.6626 7.6621 Å, 119.98 119.98 60.02°
Positions (direct):
Cl: 0.7624 0.7624 0.2614
Cl: 0.7630 0.2381 0.2628
Cl: 0.2381 0.7630 0.2628
Cl: 0.7619 0.2370 0.7372
Cl: 0.2370 0.7619 0.7372
Cl: 0.2376 0.2376 0.7386
Cs: 0.2502 0.2502 0.2500
Cs: 0.7498 0.7498 0.7500
Hg: 0.5000 0.5000 0.0000
In: 0.0000 0.0000 0.5000

[2]
The following is a PBE calculation of a relaxed structure of PrSmBrN, from OQMD.

Values from the calculation:
Total moment: 0.002 μB/cell
Energy above the most stable polymorph in this dataset: 0 kJ/mol of formula units
Symmetry: P-6m2
Electronic total energy: -50.335 eV per cell

Cell: 3.7039 3.7039 14.5788 Å, 90.00 90.00 120.00°
Positions (direct):
Br: 0.0000 0.0000 0.0000
Br: 0.3333 0.6667 0.5000
N: 0.6667 0.3333 0.2383
N: 0.6667 0.3333 0.7617
Pr: 0.0000 0.0000 0.3391
Pr: 0.0000 0.0000 0.6609
Sm: 0.3333 0.6667 0.1583
Sm: 0.3333 0.6667 0.8417

[3]
The following is a PBE calculation of a relaxed structure of CdCuIr2, from OQMD.

Values from the calculation:
Total moment: 1.211 μB/cell
Energy of formation from the pure elements: 1.36 eV/f.u.
Symmetry: F-43m
Electronic total energy: -20.961 eV per cell

Cell: 4.4255 4.4255 4.4255 Å, 60.00 60.00 60.00°
Positions (direct):
Cd: 0.5000 0.5000 0.5000
Cu: 0.2500 0.2500 0.2500
Ir: 0.0000 0.0000 0.0000
Ir: 0.7500 0.7500 0.7500

[4]
The following is a PBE calculation of a relaxed structure of Zr7Ni10, from OQMD.

Values from the calculation:
Total moment: 0.006 μB/cell
Energy of formation from the pure elements: -7.71 eV/f.u.
Symmetry: Cmce
Electronic total energy: -246.442 eV per cell

Cell: 7.7170 7.7170 9.1846 Å, 90.00 90.00 72.89°
Positions (direct):
Ni: 0.6467 0.0627 0.0075
Ni: 0.9373 0.3533 0.0075
Ni: 0.6062 0.3938 0.1040
Ni: 0.1540 0.1358 0.2075
Ni: 0.8642 0.8460 0.2075
Ni: 0.3642 0.3460 0.2925
Ni: 0.6540 0.6358 0.2925
Ni: 0.1062 0.8938 0.3960
Ni: 0.1467 0.5627 0.4925
Ni: 0.4373 0.8533 0.4925
Ni: 0.5627 0.1467 0.5075
Ni: 0.8533 0.4373 0.5075
Ni: 0.8938 0.1062 0.6040
Ni: 0.3460 0.3642 0.7075
Ni: 0.6358 0.6540 0.7075
Ni: 0.1358 0.1540 0.7925
Ni: 0.8460 0.8642 0.7925
Ni: 0.3938 0.6062 0.8960
Ni: 0.0627 0.6467 0.9925
Ni: 0.3533 0.9373 0.9925
Zr: 0.0000 0.0000 0.0000
Zr: 0.3078 0.3078 0.0000
Zr: 0.6922 0.6922 0.0000
Zr: 0.3139 0.6861 0.1870
Zr: 0.0031 0.4969 0.2500
Zr: 0.5031 0.9969 0.2500
Zr: 0.8139 0.1861 0.3130
Zr: 0.1922 0.1922 0.5000
Zr: 0.5000 0.5000 0.5000
Zr: 0.8078 0.8078 0.5000
Zr: 0.1861 0.8139 0.6870
Zr: 0.4969 0.0031 0.7500
Zr: 0.9969 0.5031 0.7500
Zr: 0.6861 0.3139 0.8130

[5]
The following is a PBE calculation of a relaxed structure of LiAcTm, from OQMD.

Values from the calculation:
Total moment: 0.009 μB/cell
Energy above the most stable polymorph in this dataset: 0 kJ/mol of formula units
Symmetry: F-43m
Electronic total energy: -9.113 eV per cell

Cell: 5.2551 5.2551 5.2551 Å, 60.00 60.00 60.00°
Positions (direct):
Ac: 0.5000 0.5000 0.5000
Li: 0.2500 0.2500 0.2500
Tm: 0.0000 0.0000 0.0000

[6]
The following is a PBE calculation of a relaxed structure of NdGdCl6, from OQMD.

Values from the calculation:
Total moment: 0.001 μB/cell
Symmetry: C2
Electronic total energy: -38.633 eV per cell

Cell: 7.1716 7.1716 6.6028 Å, 100.31 100.31 119.89°
Positions (direct):
Cl: 0.5869 0.9562 0.2427
Cl: 0.9494 0.5723 0.2438
Cl: 0.2005 0.2081 0.2487
Cl: 0.7919 0.7995 0.7513
Cl: 0.4277 0.0506 0.7562
Cl: 0.0438 0.4131 0.7573
Gd: 0.8341 0.1659 0.0000
Nd: 0.1658 0.8342 0.0000

[7]
The following is a PBE calculation of a relaxed structure of BaCd2AsP, from OQMD.

Values from the calculation:
Symmetry: P3m1
Electronic total energy: -16.861 eV per cell

Cell: 4.5124 4.5124 7.6747 Å, 90.00 90.00 120.00°
Positions (direct):
As: 0.0000 0.0000 0.7371
Ba: 0.3333 0.6667 0.0056
Cd: 0.0000 0.0000 0.3655
Cd: 0.6667 0.3333 0.6260
P: 0.6667 0.3333 0.2658

[8]
The following is a PBE calculation of a relaxed structure of Li4Si2AgIr, from OQMD.

Values from the calculation:
Total moment: 0.000 μB/cell
Symmetry: P-4m2
Electronic total energy: -33.360 eV per cell

Cell: 4.2184 4.2184 5.9538 Å, 90.00 90.00 90.00°
Positions (direct):
Ag: 0.0000 0.0000 0.0000
Ir: 0.5000 0.5000 0.5000
Li: 0.5000 0.5000 0.0000
Li: 0.0000 0.5000 0.2495
Li: 0.0000 0.0000 0.5000
Li: 0.5000 0.0000 0.7505
Si: 0.5000 0.0000 0.2842
Si: 0.0000 0.5000 0.7158

[9]
The following is a PBE calculation of a relaxed structure of Na3FeSe3, from OQMD.

Values from the calculation:
Total moment: 15.999 μB/cell
Symmetry: P2_1/c
Electronic total energy: -113.127 eV per cell

Cell: 7.3861 7.1595 12.9501 Å, 90.00 90.73 90.00°
Last column: magnetic moment on the atom in μB.
Positions (direct):
Fe: 0.5745 0.1237 0.0745  3.05
Fe: 0.9255 0.6237 0.4255  3.03
Fe: 0.0745 0.3763 0.5745  3.03
Fe: 0.4255 0.8763 0.9255  3.05
Na: 0.2199 0.4869 0.0938  0.01
Na: 0.1649 0.9865 0.1122  0.00
Na: 0.7280 0.5043 0.2249  0.00
Na: 0.7720 0.0043 0.2751  0.00
Na: 0.3351 0.4865 0.3878  0.00
Na: 0.2801 0.9869 0.4062  0.01
Na: 0.7199 0.0131 0.5938  0.01
Na: 0.6649 0.5135 0.6122  0.00
Na: 0.2280 0.9957 0.7249  0.00
Na: 0.2720 0.4957 0.7751  0.00
Na: 0.8351 0.0135 0.8878  0.00
Na: 0.7801 0.5131 0.9062  0.01
Se: 0.8721 0.2461 0.0733  0.14
Se: 0.5871 0.7894 0.0772  0.13
Se: 0.4257 0.2214 0.2265  0.14
Se: 0.0743 0.7214 0.2735  0.14
Se: 0.9129 0.2894 0.4228  0.12
Se: 0.6279 0.7461 0.4267  0.13
Se: 0.3721 0.2539 0.5733  0.13
Se: 0.0871 0.7106 0.5772  0.12
Se: 0.9257 0.2786 0.7265  0.14
Se: 0.5743 0.7786 0.7735  0.14
Se: 0.4129 0.2106 0.9228  0.13
Se: 0.1279 0.7539 0.9267  0.14

[10]
The following is a PBE calculation of a relaxed structure of DyZn3P3, from OQMD.

Values from the calculation:
Total moment: 0.000 μB/cell
Symmetry: P6_3/mmc
Electronic total energy: -57.769 eV per cell

Cell: 3.9916 3.9916 19.8073 Å, 90.00 90.00 120.00°
Positions (direct):
Dy: 0.0000 0.0000 0.0000
Dy: 0.0000 0.0000 0.5000
P: 0.6667 0.3333 0.0837
P: 0.3333 0.6667 0.2500
P: 0.6667 0.3333 0.4163
P: 0.3333 0.6667 0.5837
P: 0.6667 0.3333 0.7500
P: 0.3333 0.6667 0.9163
Zn: 0.3333 0.6667 0.1284
Zn: 0.6667 0.3333 0.2500
Zn: 0.3333 0.6667 0.3716
Zn: 0.6667 0.3333 0.6284
Zn: 0.3333 0.6667 0.7500
Zn: 0.6667 0.3333 0.8716

[11]
The following is a PBE calculation of a relaxed structure of Sc3AuN, from OQMD.

Values from the calculation:
Total moment: 0.001 μB/cell
Symmetry: Imma
Electronic total energy: -73.119 eV per cell

Cell: 6.2074 6.2074 6.2074 Å, 119.48 90.83 119.56°
Positions (direct):
Au: 0.7439 0.4939 0.2500
Au: 0.2561 0.5061 0.7500
N: 0.0000 0.0000 0.0000
N: 0.5000 0.0000 0.5000
Sc: 0.7139 0.0000 0.2139
Sc: 0.1813 0.9313 0.2500
Sc: 0.2861 0.5000 0.2861
Sc: 0.7139 0.5000 0.7139
Sc: 0.8187 0.0687 0.7500
Sc: 0.2861 0.0000 0.7861

[12]
The following is a PBE calculation of a relaxed structure of HfMg, from OQMD.

Values from the calculation:
Total moment: 0.010 μB/cell
Symmetry: Pmmn
Electronic total energy: -45.765 eV per cell

Cell: 11.1598 3.1203 5.1374 Å, 90.00 90.00 90.00°
Positions (direct):
Hf: 0.4989 0.0000 0.0000
Hf: 0.2635 0.5000 0.0000
Hf: 0.6530 0.0000 0.5000
Hf: 0.4177 0.5000 0.5000
Mg: 0.0094 0.0000 0.0000
Mg: 0.7536 0.5000 0.0000
Mg: 0.1632 0.0000 0.5000
Mg: 0.9074 0.5000 0.5000